## a
Below is a geometry-optimized SmTmRuRh structure, with properties calculated at the PBE-GGA level.

Values from the calculation:
Its total moment is 0.000 μB/f.u. The theoretical density is 10.84 g/cm3. As for the space-group type: P4mm. The calculation puts the density of states at the Fermi level at 0.44 states/eV/atom.

Unit cell a=3.4246 b=3.4246 c=6.8370 alpha=90.00 beta=90.00 gamma=90.00
Atoms (fractional coordinates):
Sm 0.5000 0.5000 0.1023
Tm 0.5000 0.5000 0.6104
Ru 0.0000 0.0000 0.8482
Rh 0.0000 0.0000 0.3670

## b
Below is a geometry-optimized SmTmRuRh structure, with properties calculated at the PBE-GGA level.

Values from the calculation:
Its total moment is 0.000 μB/f.u. The theoretical density is 10.80 g/cm3. As for the space-group type: F-43m. The calculation puts the density of states at the Fermi level at 0.60 states/eV/atom.

Unit cell a=4.8454 b=4.8454 c=4.8454 alpha=60.00 beta=60.00 gamma=60.00
Atoms (fractional coordinates):
Ru 0.7500 0.7500 0.7500
Tm 0.5000 0.5000 0.5000
Rh 0.2500 0.2500 0.2500
Sm 0.0000 0.0000 0.0000

In terms of stability, a leads; the second structure lies 1.5 kJ/mol of atoms higher.

## a
Below is a geometry-optimized Sn3RuRh structure, with properties calculated at the PBE-GGA level.

Values from the calculation:
Its total moment is 1.312 μB/f.u. The theoretical density is 7.34 g/cm3. As for the space-group type: Pm-3m. The calculation puts the density of states at the Fermi level at 1.47 states/eV/atom.

Unit cell a=5.0232 b=5.0232 c=5.0232 alpha=90.00 beta=90.00 gamma=90.00
Atoms (fractional coordinates):
Ru 0.5000 0.5000 0.5000
Rh 0.0000 0.0000 0.0000
Sn 0.0000 0.5000 0.0000
Sn 0.0000 0.0000 0.5000
Sn 0.5000 0.0000 0.0000

## b
Below is a geometry-optimized Sn3RuRh structure, with properties calculated at the PBE-GGA level.

Values from the calculation:
Its total moment is 0.000 μB/f.u. The theoretical density is 7.38 g/cm3. As for the space-group type: Pm-3m. The calculation puts the density of states at the Fermi level at 0.82 states/eV/atom.

Unit cell a=5.0142 b=5.0142 c=5.0142 alpha=90.00 beta=90.00 gamma=90.00
Atoms (fractional coordinates):
Ru 0.0000 0.0000 0.0000
Rh 0.5000 0.5000 0.5000
Sn 0.0000 0.5000 0.0000
Sn 0.0000 0.0000 0.5000
Sn 0.5000 0.0000 0.0000

In terms of stability, b leads; the second structure lies 17.7 kJ/mol of atoms higher.

## a
Below is a geometry-optimized SrRu3Rh structure, with properties calculated at the PBE-GGA level.

Values from the calculation:
Its total moment is 2.072 μB/f.u. The theoretical density is 7.52 g/cm3. As for the space-group type: Pm-3m. The calculation puts the density of states at the Fermi level at 1.44 states/eV/atom.

Unit cell a=4.7772 b=4.7772 c=4.7772 alpha=90.00 beta=90.00 gamma=90.00
Atoms (fractional coordinates):
Ru 0.0000 0.5000 0.0000
Ru 0.0000 0.0000 0.5000
Ru 0.5000 0.0000 0.0000
Rh 0.0000 0.0000 0.0000
Sr 0.5000 0.5000 0.5000

## b
Below is a geometry-optimized SrRu3Rh structure, with properties calculated at the PBE-GGA level.

Values from the calculation:
Its total moment is 6.320 μB/f.u. The theoretical density is 7.45 g/cm3. As for the space-group type: Pm-3m. The calculation puts the density of states at the Fermi level at 1.13 states/eV/atom.

Unit cell a=4.7926 b=4.7926 c=4.7926 alpha=90.00 beta=90.00 gamma=90.00
Atoms (fractional coordinates):
Ru 0.0000 0.5000 0.0000
Ru 0.0000 0.0000 0.5000
Ru 0.5000 0.0000 0.0000
Rh 0.5000 0.5000 0.5000
Sr 0.0000 0.0000 0.0000

In terms of stability, a leads; the second structure lies 156.5 kJ/mol of atoms higher.

## a
Below is a geometry-optimized SrRuRh structure, with properties calculated at the PBE-GGA level.

Values from the calculation:
Its total moment is 2.337 μB/f.u. The theoretical density is 7.02 g/cm3. As for the space-group type: F-43m. The calculation puts the density of states at the Fermi level at 1.10 states/eV/atom.

Unit cell a=4.6041 b=4.6041 c=4.6041 alpha=60.00 beta=60.00 gamma=60.00
Atoms (fractional coordinates):
Rh 0.7500 0.7500 0.7500
Ru 0.0000 0.0000 0.0000
Sr 0.5000 0.5000 0.5000

## b
Below is a geometry-optimized SrRuRh structure, with properties calculated at the PBE-GGA level.

Values from the calculation:
Its total moment is 0.000 μB/f.u. The theoretical density is 7.75 g/cm3. As for the space-group type: Imm2. The calculation puts the density of states at the Fermi level at 1.08 states/eV/atom.

Unit cell a=5.9737 b=5.9737 c=5.9737 alpha=151.21 beta=142.32 gamma=48.10
Atoms (fractional coordinates):
Rh 0.9549 0.9549 0.0000
Ru 0.3794 0.3794 0.0000
Sr 0.6657 0.6657 0.0000

In terms of stability, b leads; the second structure lies 42.6 kJ/mol of atoms higher.

## a
Below is a geometry-optimized SrRuRh structure, with properties calculated at the PBE-GGA level.

Values from the calculation:
Its total moment is 1.060 μB/f.u. The theoretical density is 7.99 g/cm3. As for the space-group type: P3m1. The calculation puts the density of states at the Fermi level at 1.58 states/eV/atom.

Unit cell a=3.1917 b=3.1917 c=6.8674 alpha=90.00 beta=90.00 gamma=120.00
Atoms (fractional coordinates):
Rh 0.0000 0.0000 0.0335
Ru 0.6667 0.3333 0.2989
Sr 0.3333 0.6667 0.6677

## b
Below is a geometry-optimized SrRuRh structure, with properties calculated at the PBE-GGA level.

Values from the calculation:
Its total moment is 0.000 μB/f.u. The theoretical density is 6.67 g/cm3. As for the space-group type: P-6m2. The calculation puts the density of states at the Fermi level at 1.31 states/eV/atom.

Unit cell a=4.1744 b=4.1744 c=4.8101 alpha=90.00 beta=90.00 gamma=120.00
Atoms (fractional coordinates):
Rh 0.0000 0.0000 0.1667
Ru 0.6667 0.3333 0.1667
Sr 0.3333 0.6667 0.6666

In terms of stability, b leads; the second structure lies 60.2 kJ/mol of atoms higher.

## a
Below is a geometry-optimized Ta3Ru2Rh structure, with properties calculated at the PBE-GGA level.

Values from the calculation:
Its total moment is 0.000 μB/f.u. The theoretical density is 14.56 g/cm3. As for the space-group type: P4/mmm. The calculation puts the density of states at the Fermi level at 0.84 states/eV/atom.

Unit cell a=3.0163 b=3.0163 c=10.6268 alpha=90.00 beta=90.00 gamma=90.00
Atoms (fractional coordinates):
Ta 0.0000 0.0000 0.0000
Ta 0.0000 0.0000 0.6742
Ta 0.0000 0.0000 0.3258
Ru 0.5000 0.5000 0.8458
Ru 0.5000 0.5000 0.1542
Rh 0.5000 0.5000 0.5000

## b
Below is a geometry-optimized Ta3Ru2Rh structure, with properties calculated at the PBE-GGA level.

Values from the calculation:
Its total moment is 0.000 μB/f.u. The theoretical density is 14.58 g/cm3. As for the space-group type: P2/m. The calculation puts the density of states at the Fermi level at 1.31 states/eV/atom.

Unit cell a=4.2432 b=6.7210 c=7.1406 alpha=90.00 beta=90.00 gamma=71.54
Atoms (fractional coordinates):
Ta 0.8333 0.3334 0.7431
Ta 0.5000 0.0000 0.2525
Ta 0.1667 0.6666 0.2569
Ta 0.8333 0.3333 0.2569
Ta 0.1667 0.6667 0.7431
Ta 0.5000 0.0000 0.7475
Ru 0.0000 0.0000 0.0000
Ru 0.0000 0.0000 0.5000
Ru 0.3340 0.3318 0.5000
Ru 0.6660 0.6682 0.5000
Rh 0.3299 0.3400 0.0000
Rh 0.6701 0.6600 0.0000

In terms of stability, a leads; the second structure lies 1.7 kJ/mol of atoms higher.